YBr: single point on PBEsol structure, SCAN.

abc: 7.129 7.129 7.129
angles: 147.40 147.40 46.76
Atoms (fractional coordinates):
1 Y 0.375 0.625 0.750
2 Y 0.625 0.375 0.250
3 Br 0.125 0.875 0.250
4 Br 0.875 0.125 0.750

Values from the calculation:
Space group: I4_1/amd (141)
ρ: 5.35 g cm⁻³
Magnetic moment: 0.0 μB per cell
Formation energy without anion corrections: -1.66 eV per formula unit
DOS at the Fermi energy: 0.7808 states/eV/atom
Electronic total energy: -97.923 eV per cell

BaPtF2: single point on PBEsol structure, SCAN.

abc: 4.556 4.556 4.556
angles: 60.00 60.00 60.00
Atoms (fractional coordinates):
1 Ba 0.000 0.000 0.000
2 Pt 0.500 0.500 0.500
3 F 0.250 0.250 0.250
4 F 0.750 0.750 0.750

Values from the calculation:
Excess energy over the best structure of this formula in the dataset: 92.0 meV per atom
Space group: Fm-3m (225)
ρ: 9.20 g cm⁻³
Magnetic moment: 0.2 μB per cell
Formation energy without anion corrections: -6.71 eV per formula unit
DOS at the Fermi energy: 1.2008 states/eV/atom
Electronic total energy: -123.535 eV per cell

Ta2SbRhO: single point on PBEsol structure, SCAN.

abc: 5.136 5.136 3.823
angles: 90.00 90.00 90.00
Atoms (fractional coordinates):
1 Ta 0.000 0.500 0.000
2 Ta 0.500 0.000 0.000
3 Sb 0.000 0.000 0.000
4 Rh 0.500 0.500 0.500
5 O 0.000 0.000 0.500

Values from the calculation:
Space group: P4/mmm (123)
ρ: 9.92 g cm⁻³
Magnetic moment: 0.0 μB per cell
Formation energy without anion corrections: 7.03 eV per formula unit
DOS at the Fermi energy: 0.5973 states/eV/atom
Electronic total energy: -203.403 eV per cell

V4O7F5: single point on PBEsol structure, SCAN.

abc: 5.065 5.260 7.393
angles: 91.76 90.07 91.83
Atoms (fractional coordinates):
1 V 0.000 0.000 0.000
2 V 0.025 0.891 0.501
3 V 0.485 0.483 0.015
4 V 0.543 0.394 0.509
5 O 0.234 0.668 0.465
6 O 0.239 0.242 0.035
7 O 0.311 0.171 0.469
8 O 0.315 0.737 0.042
9 O 0.740 0.736 0.538
10 O 0.741 0.164 0.966
11 O 0.809 0.236 0.544
12 F 0.111 0.949 0.753
13 F 0.447 0.458 0.754
14 F 0.614 0.453 0.255
15 F 0.821 0.661 0.965
16 F 0.942 0.951 0.252

Values from the calculation:
Excess energy over the best structure of this formula in the dataset: 24.4 meV per atom
Space group: P1 (1)
ρ: 3.47 g cm⁻³
Magnetic moment: 1.0 μB per cell
Formation energy without anion corrections: -42.83 eV per formula unit
Electronic total energy: -174.098 eV per cell

ZnOsPt2: single point on PBEsol structure, SCAN.

abc: 2.701 4.465 4.744
angles: 90.00 90.00 90.00
Atoms (fractional coordinates):
1 Zn 0.000 0.000 0.000
2 Os 0.000 0.500 0.644
3 Pt 0.500 0.000 0.507
4 Pt 0.500 0.500 0.144

Values from the calculation:
Space group: Pmm2 (25)
ρ: 18.74 g cm⁻³
Magnetic moment: 0.0 μB per cell
E_form: -0.1053 eV/atom
DOS at the Fermi energy: 0.7695 states/eV/atom
Electronic total energy: -226.202 eV per cell

KOsPt2: single point on PBEsol structure, SCAN.

abc: 10.285 10.285 10.285
angles: 15.43 15.43 15.43
Atoms (fractional coordinates):
1 K 0.000 0.000 0.000
2 Os 0.763 0.763 0.763
3 Pt 0.243 0.243 0.243
4 Pt 0.500 0.500 0.500

Values from the calculation:
Excess energy over the best structure of this formula in the dataset: 77.9 meV per atom
Space group: R3m (160)
ρ: 15.34 g cm⁻³
Magnetic moment: 0.0 μB per cell
E_form: 0.4949 eV/atom
DOS at the Fermi energy: 0.7344 states/eV/atom
Electronic total energy: -218.615 eV per cell

ReSeCl2: single point on PBEsol structure, SCAN.

abc: 8.329 8.329 8.329
angles: 22.37 22.37 22.37
Atoms (fractional coordinates):
1 Re 0.000 0.000 0.000
2 Se 0.734 0.734 0.734
3 Cl 0.263 0.263 0.263
4 Cl 0.484 0.484 0.484

Values from the calculation:
Excess energy over the best structure of this formula in the dataset: 0.0 meV per atom
Space group: R3m (160)
ρ: 7.60 g cm⁻³
Magnetic moment: 0.0 μB per cell
Formation energy without anion corrections: 0.28 eV per formula unit
DOS at the Fermi energy: 0.5930 states/eV/atom
Electronic total energy: -106.856 eV per cell

Ta3Os: single point on PBEsol structure, SCAN.

abc: 4.526 4.526 4.526
angles: 60.00 60.00 60.00
Atoms (fractional coordinates):
1 Ta 0.000 0.000 0.000
2 Ta 0.250 0.250 0.250
3 Ta 0.750 0.750 0.750
4 Os 0.500 0.500 0.500

Values from the calculation:
Space group: Fm-3m (225)
ρ: 18.57 g cm⁻³
Magnetic moment: 0.0 μB per cell
E_form: -0.3539 eV/atom
DOS at the Fermi energy: 0.4604 states/eV/atom
Electronic total energy: -273.045 eV per cell

NbIrSeF2: single point on PBEsol structure, SCAN.

abc: 3.942 3.942 5.204
angles: 90.00 90.00 90.00
Atoms (fractional coordinates):
1 Nb 0.000 0.000 0.000
2 Ir 0.500 0.500 0.000
3 Se 0.500 0.500 0.500
4 F 0.000 0.500 0.500
5 F 0.500 0.000 0.500

Values from the calculation:
Space group: P4/mmm (123)
ρ: 8.26 g cm⁻³
Magnetic moment: 1.6 μB per cell
Formation energy without anion corrections: -0.11 eV per formula unit
DOS at the Fermi energy: 0.5598 states/eV/atom
Electronic total energy: -131.499 eV per cell

Sm2In3Cu: single point on PBEsol structure, SCAN.

abc: 4.695 4.695 7.476
angles: 90.00 90.00 120.00
Atoms (fractional coordinates):
1 Sm 0.000 0.000 0.000
2 Sm 0.000 0.000 0.463
3 In 0.333 0.667 0.242
4 In 0.333 0.667 0.677
5 In 0.667 0.333 0.788
6 Cu 0.667 0.333 0.180

Values from the calculation:
Space group: P3m1 (156)
ρ: 8.25 g cm⁻³
Magnetic moment: 0.0 μB per cell
E_form: -0.5896 eV/atom
DOS at the Fermi energy: 0.1273 states/eV/atom
Electronic total energy: -207.781 eV per cell

FeB2S: single point on PBEsol structure, SCAN.

abc: 5.194 5.194 5.194
angles: 126.62 126.62 78.88
Atoms (fractional coordinates):
1 Fe 0.000 0.000 0.000
2 Fe 0.750 0.250 0.500
3 B 0.135 0.625 0.010
4 B 0.375 0.385 0.510
5 B 0.615 0.125 0.990
6 B 0.875 0.865 0.490
7 S 0.250 0.750 0.500
8 S 0.500 0.500 0.000

Values from the calculation:
Space group: I-42d (122)
ρ: 4.16 g cm⁻³
Magnetic moment: 3.8 μB per cell
Formation energy without anion corrections: 2.06 eV per formula unit
DOS at the Fermi energy: 0.5797 states/eV/atom
Electronic total energy: -81.108 eV per cell

SrLi3Pd: single point on PBEsol structure, SCAN.

abc: 4.881 4.881 4.881
angles: 90.00 90.00 90.00
Atoms (fractional coordinates):
1 Sr 0.000 0.000 0.000
2 Li 0.000 0.500 0.500
3 Li 0.500 0.000 0.500
4 Li 0.500 0.500 0.000
5 Pd 0.500 0.500 0.500

Values from the calculation:
Space group: Pm-3m (221)
ρ: 3.07 g cm⁻³
Magnetic moment: 0.0 μB per cell
E_form: -0.1870 eV/atom
DOS at the Fermi energy: 0.4610 states/eV/atom
Electronic total energy: -63.154 eV per cell

- Look up the magnetic moment of the tenth one.
  0.0 μB per cell